1.
Computed, not measured: an optimized crystal structure of ReSiTc6 at the PBE-GGA level of DFT.

Output
Total magnetization = 0.000 μB/atom
Formation energy without anion corrections = 0.0005 eV/atom

Cell: 4.8781 4.8812 4.8839 Å, 90.02 90.06 90.04°
Element x y z (fractional)
Re 0.0000 0.0000 0.0000
Si 0.5000 0.5000 0.5000
Tc 0.0007 0.7450 0.5006
Tc 0.2551 0.4991 0.0010
Tc 0.4998 0.9999 0.2553
Tc 0.5002 0.0001 0.7447
Tc 0.7449 0.5009 0.9990
Tc 0.9993 0.2550 0.4994

2.
Computed, not measured: an optimized crystal structure of ReSi2Tc at the PBE-GGA level of DFT.

Output
Total magnetization = 0.000 μB/atom
Formation energy without anion corrections = 0.7034 eV/atom

Cell: 5.6950 5.6950 5.6950 Å, 144.84 142.32 52.49°
Element x y z (fractional)
Re 0.0000 0.0000 0.0000
Si 0.2494 0.2494 0.0000
Si 0.7506 0.7506 0.0000
Tc 0.5000 0.5000 0.0000

3.
Computed, not measured: an optimized crystal structure of ReSiTc2 at the PBE-GGA level of DFT.

Output
Total magnetization = 0.000 μB/atom
Formation energy without anion corrections = -0.0049 eV/atom

Cell: 4.7465 4.7465 4.7465 Å, 132.70 132.70 69.13°
Element x y z (fractional)
Re 0.0000 0.0000 0.0000
Si 0.5000 0.5000 0.0000
Tc 0.2500 0.7500 0.5000
Tc 0.7500 0.2500 0.5000

4.
Computed, not measured: an optimized crystal structure of ReSiTc2 at the PBE-GGA level of DFT.

Output
Total magnetization = 0.000 μB/atom
Formation energy without anion corrections = -0.2101 eV/atom

Cell: 5.0639 5.0639 4.3494 Å, 115.36 115.36 34.05°
Element x y z (fractional)
Re 0.0000 0.0000 0.0000
Si 0.2657 0.2657 0.7652
Tc 0.5346 0.5346 0.5342
Tc 0.7654 0.7654 0.2651

5.
Computed, not measured: an optimized crystal structure of ReSi2Tc at the PBE-GGA level of DFT.

Output
Total magnetization = 0.000 μB/atom
Formation energy without anion corrections = -0.1081 eV/atom

Cell: 4.2608 4.2608 4.9610 Å, 101.22 101.22 38.89°
Element x y z (fractional)
Re 0.0000 0.0000 0.0000
Si 0.2497 0.2497 0.7535
Si 0.7503 0.7503 0.2465
Tc 0.5000 0.5000 0.5000

6.
Computed, not measured: an optimized crystal structure of ReSi2Tc at the PBE-GGA level of DFT.

Output
Total magnetization = 0.000 μB/atom
Formation energy without anion corrections = -0.2902 eV/atom

Cell: 2.9790 2.9790 5.9599 Å, 90.00 90.00 90.00°
Element x y z (fractional)
Re 0.0000 0.0000 0.0000
Si 0.5000 0.5000 0.2514
Si 0.5000 0.5000 0.7486
Tc 0.0000 0.0000 0.5000

7.
Computed, not measured: an optimized crystal structure of ReSiTc2 at the PBE-GGA level of DFT.

Output
Total magnetization = 0.000 μB/atom
Formation energy without anion corrections = -0.0323 eV/atom

Cell: 8.5650 8.5650 8.5650 Å, 18.80 18.80 18.80°
Element x y z (fractional)
Re 0.0000 0.0000 0.0000
Si 0.2518 0.2518 0.2518
Tc 0.5057 0.5057 0.5057
Tc 0.7528 0.7528 0.7528

8.
Computed, not measured: an optimized crystal structure of ReSiTc2 at the PBE-GGA level of DFT.

Output
Total magnetization = 0.000 μB/atom
Formation energy without anion corrections = -0.1069 eV/atom

Cell: 2.8193 3.9856 5.0700 Å, 90.00 90.14 90.00°
Element x y z (fractional)
Re 0.0000 0.0000 0.0000
Si 0.0000 0.0000 0.5000
Tc 0.4985 0.5000 0.7386
Tc 0.5015 0.5000 0.2614

9.
Computed, not measured: an optimized crystal structure of Re2Si6Tc at the PBE-GGA level of DFT.

Output
Total magnetization = 0.000 μB/atom
Formation energy without anion corrections = -0.1072 eV/atom

Cell: 6.9200 6.9200 6.9200 Å, 152.29 118.23 69.00°
Element x y z (fractional)
Re 0.1544 0.1544 0.0000
Re 0.8456 0.8456 0.0000
Si 0.1064 0.3312 0.7752
Si 0.2471 0.0000 0.2471
Si 0.4440 0.6688 0.7752
Si 0.5560 0.3312 0.2248
Si 0.7529 0.0000 0.7529
Si 0.8936 0.6688 0.2248
Tc 0.5000 0.5000 0.0000

10.
Computed, not measured: an optimized crystal structure of Re3SiTc at the PBE-GGA level of DFT.

Output
Total magnetization = 0.002 μB/atom
Formation energy without anion corrections = 1.2788 eV/atom

Cell: 4.3500 4.3500 4.3500 Å, 90.00 90.00 90.00°
Element x y z (fractional)
Re 0.0000 0.0000 0.5000
Re 0.0000 0.5000 0.0000
Re 0.5000 0.0000 0.0000
Si 0.0000 0.0000 0.0000
Tc 0.5000 0.5000 0.5000

11.
Computed, not measured: an optimized crystal structure of ReSi2Tc at the PBE-GGA level of DFT.

Output
Total magnetization = 0.000 μB/atom
Formation energy without anion corrections = 0.0111 eV/atom

Cell: 4.7988 4.7988 4.7988 Å, 134.99 134.99 65.55°
Element x y z (fractional)
Re 0.0000 0.0000 0.0000
Si 0.2500 0.7500 0.5000
Si 0.5000 0.5000 0.0000
Tc 0.7500 0.2500 0.5000

12.
Computed, not measured: an optimized crystal structure of ReSi4Tc at the PBE-GGA level of DFT.

Output
Total magnetization = 0.000 μB/atom
Formation energy without anion corrections = 0.5480 eV/atom

Cell: 4.7941 4.7941 4.7941 Å, 60.00 60.00 60.00°
Element x y z (fractional)
Re 0.0000 0.0000 0.0000
Si 0.1252 0.6249 0.6249
Si 0.6249 0.1252 0.6249
Si 0.6249 0.6249 0.1252
Si 0.6249 0.6249 0.6249
Tc 0.2500 0.2500 0.2500

13.
Computed, not measured: an optimized crystal structure of ReSi2Tc at the PBE-GGA level of DFT.

Output
Total magnetization = 0.000 μB/atom
Formation energy without anion corrections = -0.1155 eV/atom

Cell: 8.0363 8.0363 8.0363 Å, 20.41 20.41 20.41°
Element x y z (fractional)
Re 0.0000 0.0000 0.0000
Si 0.2492 0.2492 0.2492
Si 0.7508 0.7508 0.7508
Tc 0.5000 0.5000 0.5000

14.
Computed, not measured: an optimized crystal structure of ReSi2TcTe at the PBE-GGA level of DFT.

Output
Total magnetization = 0.114 μB/atom
Formation energy without anion corrections = 0.8505 eV/atom

Cell: 4.6293 4.6293 4.9517 Å, 90.00 90.00 90.00°
Element x y z (fractional)
Re 0.0000 0.0000 0.0000
Si 0.0000 0.5000 0.0000
Si 0.5000 0.0000 0.0000
Tc 0.0000 0.0000 0.5000
Te 0.5000 0.5000 0.5000

15.
Computed, not measured: an optimized crystal structure of ThReSi2Tc at the PBE-GGA level of DFT.

Output
Total magnetization = 0.000 μB/atom
Formation energy without anion corrections = -0.5894 eV/atom

Cell: 5.8596 5.8596 5.8596 Å, 137.82 137.82 61.18°
Element x y z (fractional)
Th 0.0000 0.0000 0.0000
Re 0.2500 0.7500 0.5000
Si 0.3735 0.3735 0.0000
Si 0.6265 0.6265 0.0000
Tc 0.7500 0.2500 0.5000

16.
Computed, not measured: an optimized crystal structure of TmReSi2Tc at the PBE-GGA level of DFT.

Output
Total magnetization = 0.000 μB/atom
Formation energy without anion corrections = -0.5359 eV/atom

Cell: 5.8079 5.8079 5.8079 Å, 138.52 138.52 60.11°
Element x y z (fractional)
Tm 0.0000 0.0000 0.0000
Re 0.2500 0.7500 0.5000
Si 0.3791 0.3791 0.0000
Si 0.6209 0.6209 0.0000
Tc 0.7500 0.2500 0.5000

17.
Computed, not measured: an optimized crystal structure of UReSi2Tc at the PBE-GGA level of DFT.

Output
Total magnetization = 0.392 μB/atom
Formation energy without anion corrections = -0.3709 eV/atom

Cell: 5.7242 5.7242 5.7242 Å, 137.42 137.42 61.79°
Element x y z (fractional)
U 0.0000 0.0000 0.0000
Re 0.7500 0.2500 0.5000
Si 0.3786 0.3786 0.0000
Si 0.6214 0.6214 0.0000
Tc 0.2500 0.7500 0.5000

18.
Computed, not measured: an optimized crystal structure of VReSiTc at the PBE-GGA level of DFT.

Output
Total magnetization = 0.000 μB/atom
Formation energy without anion corrections = -0.4017 eV/atom

Cell: 4.2484 4.2484 4.2484 Å, 60.00 60.00 60.00°
Element x y z (fractional)
V 0.0000 0.0000 0.0000
Re 0.7500 0.7500 0.7500
Si 0.5000 0.5000 0.5000
Tc 0.2500 0.2500 0.2500

19.
Computed, not measured: an optimized crystal structure of YRe2SiTc at the PBE-GGA level of DFT.

Output
Total magnetization = 0.000 μB/atom
Formation energy without anion corrections = 3.0401 eV/atom

Cell: 4.7196 4.7196 4.8055 Å, 90.00 90.00 90.00°
Element x y z (fractional)
Y 0.0000 0.0000 0.0000
Re 0.0000 0.5000 0.0000
Re 0.5000 0.0000 0.0000
Si 0.0000 0.0000 0.5000
Tc 0.5000 0.5000 0.5000

20.
Computed, not measured: an optimized crystal structure of ReSiTe2 at the PBE-GGA level of DFT.

Output
Total magnetization = 0.000 μB/atom
Formation energy without anion corrections = 0.5743 eV/atom

Cell: 6.6416 6.6416 6.6416 Å, 152.15 138.62 50.62°
Element x y z (fractional)
Re 0.0000 0.0000 0.0000
Si 0.8329 0.3329 0.5000
Te 0.1894 0.6894 0.5000
Te 0.4711 0.4711 0.0000

21.
Computed, not measured: an optimized crystal structure of ReSiTe2 at the PBE-GGA level of DFT.

Output
Total magnetization = 0.000 μB/atom
Formation energy without anion corrections = 0.2750 eV/atom

Cell: 8.5423 8.5423 8.5423 Å, 158.89 153.93 33.78°
Element x y z (fractional)
Re 0.0000 0.0000 0.0000
Si 0.5000 0.5000 0.0000
Te 0.1457 0.6457 0.5000
Te 0.8543 0.3543 0.5000

22.
Computed, not measured: an optimized crystal structure of ReSiTe at the PBE-GGA level of DFT.

Output
Total magnetization = 0.000 μB/atom
Formation energy without anion corrections = 0.3892 eV/atom

Cell: 6.9374 6.9374 6.9374 Å, 156.29 147.32 40.77°
Element x y z (fractional)
Re 0.0000 0.0000 0.0000
Si 0.5265 0.5265 0.0000
Te 0.7970 0.7970 0.0000

23.
Computed, not measured: an optimized crystal structure of ReSiTe2 at the PBE-GGA level of DFT.

Output
Total magnetization = 0.132 μB/atom
Formation energy without anion corrections = 0.1659 eV/atom

Cell: 4.3689 4.3689 7.2591 Å, 99.45 99.45 49.46°
Element x y z (fractional)
Re 0.0000 0.0000 0.0000
Si 0.7095 0.7095 0.0489
Te 0.2722 0.2722 0.7622
Te 0.5215 0.5215 0.2966

24.
Computed, not measured: an optimized crystal structure of ReSiTe2 at the PBE-GGA level of DFT.

Output
Total magnetization = 0.000 μB/atom
Formation energy without anion corrections = 0.5834 eV/atom

Cell: 3.0655 3.0655 10.0519 Å, 90.00 90.00 112.08°
Element x y z (fractional)
Re 0.0000 0.0000 0.0000
Si 0.5000 0.5000 0.8306
Te 0.0000 0.0000 0.5620
Te 0.5000 0.5000 0.2216

25.
Computed, not measured: an optimized crystal structure of ReSi2Te at the PBE-GGA level of DFT.

Output
Total magnetization = 0.000 μB/atom
Formation energy without anion corrections = 0.3717 eV/atom

Cell: 4.4448 4.4448 5.4792 Å, 97.77 97.77 42.86°
Element x y z (fractional)
Re 0.0000 0.0000 0.0000
Si 0.2749 0.2749 0.8378
Si 0.7251 0.7251 0.1622
Te 0.5000 0.5000 0.5000

26.
Computed, not measured: an optimized crystal structure of ReSiTe at the PBE-GGA level of DFT.

Output
Total magnetization = 0.000 μB/atom
Formation energy without anion corrections = 0.6231 eV/atom

Cell: 4.3125 4.3125 3.4182 Å, 90.00 90.00 120.00°
Element x y z (fractional)
Re 0.0000 0.0000 0.0000
Si 0.6667 0.3333 0.0000
Te 0.3333 0.6667 0.5000

27.
Computed, not measured: an optimized crystal structure of ReSi2Te at the PBE-GGA level of DFT.

Output
Total magnetization = 0.000 μB/atom
Formation energy without anion corrections = 0.7665 eV/atom

Cell: 4.6776 4.6776 3.1458 Å, 90.57 90.57 105.49°
Element x y z (fractional)
Re 0.0000 0.0000 0.0000
Si 0.0000 0.5000 0.5000
Si 0.5000 0.0000 0.5000
Te 0.5000 0.5000 0.0000

28.
Computed, not measured: an optimized crystal structure of ReSiTe2 at the PBE-GGA level of DFT.

Output
Total magnetization = 0.000 μB/atom
Formation energy without anion corrections = 0.8421 eV/atom

Cell: 2.8578 4.3067 7.3127 Å, 90.00 90.14 90.00°
Element x y z (fractional)
Re 0.0000 0.0000 0.0000
Si 0.0000 0.0000 0.5000
Te 0.0875 0.5000 0.2327
Te 0.9125 0.5000 0.7673

29.
Computed, not measured: an optimized crystal structure of ReSi2Te at the PBE-GGA level of DFT.

Output
Total magnetization = 0.000 μB/atom
Formation energy without anion corrections = 0.6665 eV/atom

Cell: 2.9854 2.9854 8.9855 Å, 90.00 90.00 114.37°
Element x y z (fractional)
Re 0.0000 0.0000 0.0000
Si 0.0000 0.0000 0.5899
Si 0.5000 0.5000 0.7995
Te 0.5000 0.5000 0.2625

30.
Computed, not measured: an optimized crystal structure of ReSiTe2 at the PBE-GGA level of DFT.

Output
Total magnetization = 0.000 μB/atom
Formation energy without anion corrections = 1.1346 eV/atom

Cell: 8.8382 8.8382 8.8382 Å, 23.16 23.16 23.16°
Element x y z (fractional)
Re 0.0000 0.0000 0.0000
Si 0.5000 0.5000 0.5000
Te 0.0984 0.0984 0.0984
Te 0.9016 0.9016 0.9016

In order of appearance, DOS at the Fermi energy = 0.9332 0.7225 1.2353 0.7845 0.9651 0.6861 1.3796 0.6733 0.4960 1.0506 0.6968 0.7212 1.0381 1.0467 0.7355 0.9273 0.7488 0.5835 2.3370 0.9756 0.5983 0.6791 0.4357 0.8448 0.5636 0.9046 0.6962 0.6901 0.7027 0.6581 states/eV per atom.